1.
4
Lattice="5.353 0.000 0.000 2.676 4.636 0.000 2.676 1.545 4.370" Properties=species:S:1:pos:R:3 comment="GGA-PBE AcDyTlRh, optimized geometry" n_ef_per_ev_cell=3.0 formation_energy_ev_per_fu=-1.37 m_tot_mub_per_fu=0.00 pbc="T T T"
Ac 5.353 3.090 2.185
Rh 2.676 1.545 1.093
Tl 8.029 4.636 3.278
Dy 0.000 0.000 0.000

***

2.
12
Lattice="7.083 0.000 0.000 0.000 6.496 -1.989 0.000 1.654 7.653" Properties=species:S:1:pos:R:3 comment="GGA-PBE AcDyRu, optimized geometry" e_above_lowest_polymorph_mev_per_atom=34 n_ef_per_ev_cell=5.5 formation_energy_ev_per_fu=-0.59 m_tot_mub_per_fu=0.00 pbc="T T T"
Ac 3.008 2.980 6.363
Ac 4.075 5.170 -0.699
Ac 6.549 2.749 4.122
Ac 0.534 5.401 1.543
Dy 6.549 1.717 0.368
Dy 4.075 5.792 3.200
Dy 0.534 6.433 5.296
Dy 3.008 2.358 2.464
Ru 1.874 4.357 4.091
Ru 5.209 3.793 1.574
Ru 1.667 0.282 1.259
Ru 5.416 7.868 4.406

***

3.
7
Lattice="3.843 0.000 1.080 1.453 6.031 2.206 -0.346 -0.265 8.609" Properties=species:S:1:pos:R:3 comment="GGA-PBE Ac2Dy3Ru2, optimized geometry" n_ef_per_ev_cell=4.2 formation_energy_ev_per_fu=-1.81 m_tot_mub_per_fu=0.00 pbc="T T T"
Ac 1.231 2.750 2.998
Ac 3.719 3.016 8.897
Dy 1.921 0.000 0.540
Dy 2.498 4.904 5.864
Dy 2.452 0.862 6.031
Ru 1.698 5.194 8.711
Ru 3.252 0.571 3.184

***

4.
6
Lattice="4.794 -0.231 -0.035 0.231 4.793 -0.035 0.054 0.050 7.199" Properties=species:S:1:pos:R:3 comment="GGA-PBE AcDyRu, optimized geometry" e_above_lowest_polymorph_mev_per_atom=0 n_ef_per_ev_cell=3.9 formation_energy_ev_per_fu=-0.70 m_tot_mub_per_fu=0.00 pbc="T T T"
Ac 4.129 3.992 3.852
Ac 1.604 1.699 2.107
Dy 4.034 1.614 6.580
Dy 1.753 4.126 6.579
Ru 4.109 3.973 1.026
Ru 1.624 1.718 4.933

***

5.
3
Lattice="4.988 0.000 0.000 2.494 4.319 0.000 2.494 1.440 4.072" Properties=species:S:1:pos:R:3 comment="GGA-PBE AcDyRu, optimized geometry" e_above_lowest_polymorph_mev_per_atom=86 n_ef_per_ev_cell=2.6 formation_energy_ev_per_fu=-0.44 m_tot_mub_per_fu=0.00 pbc="T T T"
Ru 2.494 1.440 1.018
Ac 4.988 2.880 2.036
Dy 0.000 0.000 0.000

***

6.
3
Lattice="3.553 0.000 0.000 0.000 3.553 0.000 -1.776 -1.776 6.837" Properties=species:S:1:pos:R:3 comment="GGA-PBE AcDyRu, optimized geometry" e_above_lowest_polymorph_mev_per_atom=88 n_ef_per_ev_cell=1.8 formation_energy_ev_per_fu=-0.43 m_tot_mub_per_fu=0.00 pbc="T T T"
Ru 1.776 1.776 2.412
Ac 0.000 0.000 0.497
Dy 0.000 0.000 3.928